First-principles (PBE-GGA) data for crystalline Ac2Sn3Pd4Pb at its relaxed geometry, as listed in the Alexandria database.

a b c (Å): 4.714 4.714 11.008
angles (deg): 90.00 90.00 90.00
Space group P-4m2 (No. 115)
Inequivalent atoms, fractional coordinates:
Ac1 0.000 0.500 0.239 [2 per cell]
Sn1 0.000 0.500 0.879 [2 per cell]
Sn2 0.500 0.500 0.500 [1 per cell]
Pd1 0.000 0.000 0.000 [1 per cell]
Pd2 0.000 0.500 0.639 [2 per cell]
Pd3 0.500 0.500 0.000 [1 per cell]
Pb1 0.000 0.000 0.500 [1 per cell]

- size of the total moment (μB/cell) = 0.00
- formation enthalpy at 0 K (eV per atom) = -0.76
- E (eV/atom) = -5.2302

***

First-principles (PBE-GGA) data for crystalline Ac2Sn4Pd3Pb at its relaxed geometry, as listed in the Alexandria database.

a b c (Å): 4.735 4.735 11.460
angles (deg): 90.00 90.00 90.00
Space group P-4m2 (No. 115)
Inequivalent atoms, fractional coordinates:
Ac1 0.000 0.500 0.238 [2 per cell]
Sn1 0.000 0.000 0.000 [1 per cell]
Sn2 0.000 0.500 0.650 [2 per cell]
Sn3 0.500 0.500 0.000 [1 per cell]
Pd1 0.000 0.500 0.879 [2 per cell]
Pd2 0.500 0.500 0.500 [1 per cell]
Pb1 0.000 0.000 0.500 [1 per cell]

- size of the total moment (μB/cell) = 0.00
- formation enthalpy at 0 K (eV per atom) = -0.65
- E (eV/atom) = -5.0026

***

First-principles (PBE-GGA) data for crystalline SrAcPdPb at its relaxed geometry, as listed in the Alexandria database.

a b c (Å): 7.939 7.939 7.939
angles (deg): 90.00 90.00 90.00
Space group F-43m (No. 216)
Inequivalent atoms, fractional coordinates:
Sr1 0.000 0.000 0.000 [4 per cell]
Ac1 0.000 0.000 0.500 [4 per cell]
Pd1 0.250 0.250 0.750 [4 per cell]
Pb1 0.250 0.250 0.250 [4 per cell]

- size of the total moment (μB/cell) = 0.00
- formation enthalpy at 0 K (eV per atom) = -0.52
- E (eV/atom) = -4.1966

***

First-principles (PBE-GGA) data for crystalline SrAc2Pd6Pb3 at its relaxed geometry, as listed in the Alexandria database.

a b c (Å): 4.348 4.348 16.146
angles (deg): 90.00 90.00 90.00
Space group P4/mmm (No. 123)
Inequivalent atoms, fractional coordinates:
Sr1 0.000 0.000 0.000 [1 per cell]
Ac1 0.000 0.000 0.355 [2 per cell]
Pd1 0.000 0.500 0.214 [4 per cell]
Pd2 0.500 0.500 0.329 [2 per cell]
Pb1 0.500 0.500 0.109 [2 per cell]
Pb2 0.500 0.500 0.500 [1 per cell]

- size of the total moment (μB/cell) = 0.00
- formation enthalpy at 0 K (eV per atom) = -0.59
- E (eV/atom) = -4.9352